## MgBiWO6 (PBE+U)

Data for crystalline MgBiWO6 at its relaxed geometry.

Cell: 5.470 5.470 9.052 Å, 90.00 90.00 120.00°
Element x y z (fractional)
1 Mg 0.000 0.000 0.000
2 Mg 0.000 0.000 0.500
3 Bi 0.333 0.667 0.250
4 Bi 0.667 0.333 0.750
5 W 0.333 0.667 0.750
6 W 0.667 0.333 0.250
7 O 0.042 0.363 0.628
8 O 0.042 0.680 0.872
9 O 0.320 0.363 0.872
10 O 0.320 0.958 0.628
11 O 0.363 0.042 0.128
12 O 0.363 0.320 0.372
13 O 0.637 0.680 0.628
14 O 0.637 0.958 0.872
15 O 0.680 0.042 0.372
16 O 0.680 0.637 0.128
17 O 0.958 0.320 0.128
18 O 0.958 0.637 0.372

Computed properties:
The value obtained for the final energy is -115.51 eV per cell. The calculated volume is 234.5 Å³/cell. The space group is P-31c.